No. 1
A plane-wave DFT calculation with PBE was carried out for LuInGe2 after structural relaxation.

abc: 4.590 4.590 4.017
angles: 90.00 90.00 90.00
Fractional coordinates of all 4 atoms:
Lu: 0.000 0.000 0.000
In: 0.500 0.500 0.000
Ge: 0.000 0.500 0.500
Ge: 0.500 0.000 0.500

Summary:
formation energy from the elements: -0.336 eV per atom
SG: P4/mmm

---

No. 2
A plane-wave DFT calculation with PBE was carried out for BeZnGaSi2 after structural relaxation.

abc: 4.640 4.640 4.772
angles: 90.00 90.00 90.00
Fractional coordinates of all 5 atoms:
Be: 0.000 0.000 0.000
Zn: 0.500 0.500 0.500
Ga: 0.500 0.500 0.000
Si: 0.000 0.500 0.500
Si: 0.500 0.000 0.500

Summary:
E_form (uncorrected): 1.138 eV/atom
SG: P4/mmm

---

Repeat the second record exactly.
A plane-wave DFT calculation with PBE was carried out for BeZnGaSi2 after structural relaxation.

abc: 4.640 4.640 4.772
angles: 90.00 90.00 90.00
Fractional coordinates of all 5 atoms:
Be: 0.000 0.000 0.000
Zn: 0.500 0.500 0.500
Ga: 0.500 0.500 0.000
Si: 0.000 0.500 0.500
Si: 0.500 0.000 0.500

Summary:
E_form (uncorrected): 1.138 eV/atom
SG: P4/mmm